Record 1
{
  "formula": "LaTcB2O8",
  "functional": "PBE",
  "state": "relaxed",
  "dft_energy_ev_per_atom": -7.72,
  "total_magnetization_mub_per_fu": 0.146,
  "lattice_angstrom": [[4.9373, 0.0000, 0.0000], [-2.4687, 4.2759, 0.0000], [0.0000, 0.0000, 6.7161]],
  "species": ["O", "O", "O", "B", "O", "O", "O", "B", "O", "O", "La", "Tc"],
  "frac_coords": [[0.3457, 0.1729, 0.1731], [0.6543, 0.8271, 0.8269], [0.8271, 0.6543, 0.1731], [0.6667, 0.3333, 0.2574], [0.8271, 0.1729, 0.1731], [0.6667, 0.3333, 0.4658], [0.3333, 0.6667, 0.5342], [0.3333, 0.6667, 0.7426], [0.1729, 0.3457, 0.8269], [0.1729, 0.8271, 0.8269], [0.0000, 0.0000, 0.5000], [0.0000, 0.0000, 0.0000]]
}

***

Record 2
{
  "formula": "YInRh5",
  "functional": "PBE",
  "state": "relaxed",
  "ef_ev_per_atom": -0.407,
  "dft_energy_ev_per_atom": -6.97,
  "total_magnetization_mub_per_fu": 0.000,
  "lattice_angstrom": [[5.1899, 0.0000, 0.0000], [0.0000, 8.5458, 0.0000], [0.0000, 0.0000, 10.9154]],
  "species": ["Rh", "Rh", "Rh", "In", "Rh", "Rh", "Rh", "Y", "Rh", "Rh", "Rh", "Y", "Rh", "Rh", "In", "In", "Rh", "Rh", "Y", "Y", "Rh", "Rh", "Rh", "Rh", "In", "Rh", "Rh", "Rh"],
  "frac_coords": [[0.7500, 0.3154, 0.7479], [0.0036, 0.0685, 0.6850], [0.2500, 0.6114, 0.0205], [0.2500, 0.8719, 0.8555], [0.5036, 0.4315, 0.1850], [0.7500, 0.8154, 0.7521], [0.7500, 0.0555, 0.9055], [0.7500, 0.7556, 0.0564], [0.2500, 0.1114, 0.4795], [0.7500, 0.8886, 0.5205], [0.9964, 0.9315, 0.3150], [0.7500, 0.2556, 0.4436], [0.2500, 0.4445, 0.4055], [0.7500, 0.3886, 0.9795], [0.7500, 0.1281, 0.1445], [0.7500, 0.6281, 0.3555], [0.9964, 0.4315, 0.1850], [0.2500, 0.1846, 0.2479], [0.2500, 0.2444, 0.9436], [0.2500, 0.7444, 0.5564], [0.4964, 0.5685, 0.8150], [0.5036, 0.9315, 0.3150], [0.0036, 0.5685, 0.8150], [0.4964, 0.0685, 0.6850], [0.2500, 0.3719, 0.6445], [0.2500, 0.6846, 0.2521], [0.2500, 0.9445, 0.0945], [0.7500, 0.5555, 0.5945]]
}

***

Record 3
{
  "formula": "YAl2Zn8Cu",
  "functional": "PBE",
  "state": "relaxed",
  "ef_ev_per_atom": -0.062,
  "dft_energy_ev_per_atom": -2.42,
  "total_magnetization_mub_per_fu": 0.000,
  "lattice_angstrom": [[4.7028, -0.0806, -0.3152], [2.0979, 4.2097, -0.3152], [-0.0753, -0.0457, 10.2146]],
  "species": ["Zn", "Zn", "Zn", "Zn", "Al", "Zn", "Al", "Y", "Zn", "Zn", "Cu", "Zn"],
  "frac_coords": [[0.6685, 0.6685, 0.0386], [0.6805, 0.6805, 0.6124], [0.3254, 0.8342, 0.8068], [0.1658, 0.6746, 0.1932], [0.3349, 0.3349, 0.6649], [0.6746, 0.1658, 0.1932], [0.6651, 0.6651, 0.3351], [0.0000, 0.0000, 0.5000], [0.8342, 0.3254, 0.8068], [0.3195, 0.3195, 0.3876], [0.0000, 0.0000, 0.0000], [0.3315, 0.3315, 0.9614]]
}

***

Record 4
{
  "formula": "Ba2CaLaPt",
  "functional": "PBE",
  "state": "relaxed",
  "ef_ev_per_atom": -0.347,
  "dft_energy_ev_per_atom": -3.71,
  "total_magnetization_mub_per_fu": 0.000,
  "lattice_angstrom": [[6.3940, 0.0000, 0.0000], [0.0000, 6.3940, 0.0000], [0.0000, 0.0000, 5.6555]],
  "species": ["Ca", "Ba", "Pt", "La", "Ba"],
  "frac_coords": [[0.5000, 0.5000, 0.5000], [0.0000, 0.5000, 0.0000], [0.0000, 0.0000, 0.0000], [0.0000, 0.0000, 0.5000], [0.5000, 0.0000, 0.0000]]
}

***

Record 5
{
  "formula": "La6Nd5Sm2",
  "functional": "PBE",
  "state": "relaxed",
  "ef_ev_per_atom": 0.091,
  "dft_energy_ev_per_atom": -4.74,
  "total_magnetization_mub_per_fu": 0.000,
  "lattice_angstrom": [[3.6995, 0.0000, 0.0000], [0.0000, 11.9976, 0.0000], [0.0000, 0.0000, 21.2822]],
  "species": ["La", "Sm", "La", "Nd", "Nd", "La", "Nd", "La", "La", "Nd", "La", "Nd", "Nd", "Nd", "Sm", "La", "Nd", "La", "La", "Sm", "Nd", "Sm", "La", "La", "Nd", "La"],
  "frac_coords": [[0.5000, 0.8235, 0.3645], [0.0000, 0.8320, 0.2118], [0.5000, 0.3235, 0.1355], [0.5000, 0.5896, 0.2742], [0.5000, 0.5000, 0.0000], [0.0000, 0.0812, 0.3673], [0.5000, 0.6974, 0.5558], [0.5000, 0.6765, 0.8645], [0.5000, 0.1765, 0.6355], [0.5000, 0.3026, 0.4442], [0.0000, 0.9188, 0.6327], [0.5000, 0.8026, 0.0558], [0.5000, 0.0000, 0.5000], [0.5000, 0.4104, 0.7258], [0.0000, 0.6680, 0.7118], [0.0000, 0.5623, 0.4208], [0.5000, 0.9104, 0.7742], [0.0000, 0.5812, 0.1327], [0.0000, 0.4188, 0.8673], [0.0000, 0.1680, 0.7882], [0.5000, 0.0896, 0.2258], [0.0000, 0.3320, 0.2882], [0.0000, 0.9377, 0.9208], [0.0000, 0.4377, 0.5792], [0.5000, 0.1974, 0.9442], [0.0000, 0.0623, 0.0792]]
}

***

Record 6
{
  "formula": "ZrCu2Ag",
  "functional": "PBE",
  "state": "relaxed",
  "ef_ev_per_atom": 0.083,
  "dft_energy_ev_per_atom": -4.82,
  "total_magnetization_mub_per_fu": 0.000,
  "lattice_angstrom": [[-3.5214, 1.4318, 2.7803], [-2.0978, -4.2132, -0.1678], [1.5265, -0.8546, 2.3736]],
  "species": ["Ag", "Cu", "Zr", "Cu"],
  "frac_coords": [[0.0000, 0.5000, 0.5000], [0.0000, 0.0000, 0.0000], [0.5000, 0.0000, 0.5000], [0.5000, 0.5000, 0.0000]]
}

***

Record 7
{
  "formula": "CaEuCdIr",
  "functional": "PBE",
  "state": "relaxed",
  "ef_ev_per_atom": -0.252,
  "dft_energy_ev_per_atom": -5.77,
  "total_magnetization_mub_per_fu": 6.971,
  "lattice_angstrom": [[-0.2451, -3.1986, 4.0114], [3.1931, -4.0132, 0.2835], [3.7712, -0.0400, 3.4869]],
  "species": ["Cd", "Ca", "Eu", "Ir"],
  "frac_coords": [[0.7500, 0.7500, 0.7500], [0.0000, 0.0000, 0.0000], [0.5000, 0.5000, 0.5000], [0.2500, 0.2500, 0.2500]]
}

***

Record 8
{
  "formula": "GaSe2S6",
  "functional": "PBE",
  "state": "relaxed",
  "dft_energy_ev_per_atom": -3.81,
  "total_magnetization_mub_per_fu": 0.000,
  "lattice_angstrom": [[-0.7819, 2.0025, 4.1307], [-5.3916, 1.6187, -14.9125], [2.4304, -6.7791, 13.7226]],
  "species": ["S", "S", "Se", "S", "Se", "S", "S", "S", "Ga"],
  "frac_coords": [[0.2531, 0.0445, 0.5362], [0.7469, 0.9555, 0.4638], [0.6701, 0.7945, 0.1208], [0.7506, 0.5811, 0.7937], [0.3299, 0.2055, 0.8792], [0.4216, 0.8246, 0.8861], [0.5784, 0.1754, 0.1139], [0.2494, 0.4189, 0.2063], [0.5000, 0.5000, 0.0000]]
}

***

Record 9
{
  "formula": "Dy6SnBi2",
  "functional": "PBE",
  "state": "relaxed",
  "ef_ev_per_atom": -0.454,
  "dft_energy_ev_per_atom": -4.83,
  "total_magnetization_mub_per_fu": 0.005,
  "lattice_angstrom": [[6.3415, 0.0000, 0.2411], [0.0000, 8.3526, 0.0000], [-0.4693, 0.0000, 10.4200]],
  "species": ["Dy", "Dy", "Dy", "Dy", "Bi", "Sn", "Dy", "Bi", "Dy", "Dy", "Sn", "Dy", "Bi", "Dy", "Dy", "Dy", "Dy", "Bi"],
  "frac_coords": [[0.6332, 0.1579, 0.9548], [0.1388, 0.0395, 0.7732], [0.1332, 0.3421, 0.4548], [0.8612, 0.9605, 0.2268], [0.3978, 0.1124, 0.2592], [0.0000, 0.0000, 0.5000], [0.3612, 0.5395, 0.7268], [0.6022, 0.8876, 0.7408], [0.1151, 0.2974, 0.0493], [0.8668, 0.6579, 0.5452], [0.5000, 0.5000, 0.0000], [0.8849, 0.7026, 0.9507], [0.1022, 0.6124, 0.2408], [0.6151, 0.2026, 0.5493], [0.3849, 0.7974, 0.4507], [0.6388, 0.4605, 0.2732], [0.3668, 0.8421, 0.0452], [0.8978, 0.3876, 0.7592]]
}

***

Record 10
{
  "formula": "PrTmIrPt",
  "functional": "PBE",
  "state": "relaxed",
  "ef_ev_per_atom": -0.891,
  "dft_energy_ev_per_atom": -6.93,
  "total_magnetization_mub_per_fu": 0.000,
  "lattice_angstrom": [[4.9695, 0.0000, 0.0000], [2.4848, 4.3037, 0.0000], [2.4848, 1.4346, 4.0576]],
  "species": ["Ir", "Tm", "Pt", "Pr"],
  "frac_coords": [[0.2500, 0.2500, 0.2500], [0.0000, 0.0000, 0.0000], [0.7500, 0.7500, 0.7500], [0.5000, 0.5000, 0.5000]]
}

***

Record 11
{
  "formula": "CaCoPN",
  "functional": "PBE",
  "state": "relaxed",
  "dft_energy_ev_per_atom": -6.11,
  "total_magnetization_mub_per_fu": 0.001,
  "lattice_angstrom": [[-0.8838, -3.9704, 0.8487], [-0.2041, -0.6624, -3.3111], [4.1439, -0.9365, -0.0662]],
  "species": ["P", "Co", "Ca", "N"],
  "frac_coords": [[0.0000, 0.8921, 0.0667], [0.0000, 0.3919, 0.7766], [0.5000, 0.3926, 0.3512], [0.0000, 0.8922, 0.4666]]
}

***

Record 12
{
  "formula": "Pm2Cu3Ge4",
  "functional": "PBE",
  "state": "relaxed",
  "ef_ev_per_atom": -0.444,
  "dft_energy_ev_per_atom": -4.92,
  "total_magnetization_mub_per_fu": 0.000,
  "lattice_angstrom": [[5.7612, 0.0000, 0.0000], [0.0000, 7.5461, 0.0000], [-2.8806, 0.0000, 7.5079]],
  "species": ["Pm", "Cu", "Ge", "Ge", "Ge", "Pm", "Pm", "Cu", "Cu", "Ge", "Pm", "Ge", "Cu", "Cu", "Ge", "Ge", "Ge", "Cu"],
  "frac_coords": [[0.1125, 0.5932, 0.2250], [0.0307, 0.7500, 0.5614], [0.6953, 0.7500, 0.8905], [0.3047, 0.2500, 0.1095], [0.1953, 0.7500, 0.8905], [0.6125, 0.9068, 0.2250], [0.3875, 0.0932, 0.7750], [0.9693, 0.2500, 0.4386], [0.4693, 0.2500, 0.4386], [0.6819, 0.5236, 0.3638], [0.8875, 0.4068, 0.7750], [0.3181, 0.4764, 0.6362], [0.5000, 0.5000, 0.0000], [0.5307, 0.7500, 0.5614], [0.1819, 0.9764, 0.3638], [0.8181, 0.0236, 0.6362], [0.8047, 0.2500, 0.1095], [0.0000, 0.0000, 0.0000]]
}

***

Record 13
{
  "formula": "KSn6Pb2",
  "functional": "PBE",
  "state": "relaxed",
  "ef_ev_per_atom": 0.009,
  "dft_energy_ev_per_atom": -3.61,
  "total_magnetization_mub_per_fu": 0.000,
  "lattice_angstrom": [[-3.4788, -0.4944, 3.5207], [3.4708, -1.5393, 3.2134], [1.8048, 11.0237, 3.3313]],
  "species": ["Sn", "Pb", "Sn", "K", "Sn", "Sn", "Sn", "Pb", "Sn"],
  "frac_coords": [[0.0000, 0.5000, 0.6920], [0.5000, 0.5000, 0.8630], [0.5000, 0.0000, 0.3080], [0.0000, 0.0000, 0.0000], [0.5000, 0.5000, 0.5000], [0.5000, 0.0000, 0.6920], [0.0000, 0.0000, 0.5000], [0.5000, 0.5000, 0.1370], [0.0000, 0.5000, 0.3080]]
}

***

Record 14
{
  "formula": "CsTe2IrN",
  "functional": "PBE",
  "state": "relaxed",
  "dft_energy_ev_per_atom": -4.76,
  "total_magnetization_mub_per_fu": 0.000,
  "lattice_angstrom": [[6.1522, 0.0000, 0.0000], [0.0000, 6.1522, 0.0000], [0.0000, 0.0000, 3.6679]],
  "species": ["Ir", "Te", "N", "Cs", "Te"],
  "frac_coords": [[0.0000, 0.0000, 0.0000], [0.0000, 0.5000, 0.0000], [0.0000, 0.0000, 0.5000], [0.5000, 0.5000, 0.5000], [0.5000, 0.0000, 0.0000]]
}

***

Record 15
{
  "formula": "SmHoZnOs",
  "functional": "PBE",
  "state": "relaxed",
  "ef_ev_per_atom": -0.226,
  "dft_energy_ev_per_atom": -5.68,
  "total_magnetization_mub_per_fu": 0.000,
  "lattice_angstrom": [[4.9509, 0.0000, 0.0000], [2.4755, 4.2876, 0.0000], [2.4755, 1.4292, 4.0424]],
  "species": ["Ho", "Zn", "Os", "Sm"],
  "frac_coords": [[0.2500, 0.2500, 0.2500], [0.0000, 0.0000, 0.0000], [0.5000, 0.5000, 0.5000], [0.7500, 0.7500, 0.7500]]
}

***

Record 16
{
  "formula": "AlZn2Rh",
  "functional": "PBE",
  "state": "relaxed",
  "ef_ev_per_atom": -0.324,
  "dft_energy_ev_per_atom": -3.73,
  "total_magnetization_mub_per_fu": 0.000,
  "lattice_angstrom": [[-0.8228, 0.3658, -3.2011], [-3.1616, -0.7285, 0.7294], [-0.9801, 5.0878, 0.8333]],
  "species": ["Al", "Zn", "Rh", "Zn"],
  "frac_coords": [[0.5000, 0.5000, 0.2500], [0.0000, 0.0000, 0.5056], [0.5000, 0.5000, 0.7500], [0.0000, 0.0000, 0.9944]]
}

***

Record 17
{
  "formula": "LaNdEr",
  "functional": "PBE",
  "state": "relaxed",
  "ef_ev_per_atom": 0.066,
  "dft_energy_ev_per_atom": -4.69,
  "total_magnetization_mub_per_fu": 0.000,
  "lattice_angstrom": [[-0.8602, -0.0612, 3.4092], [2.8628, -4.9827, 0.6329], [2.7424, 5.0290, 0.7823]],
  "species": ["Er", "La", "Nd"],
  "frac_coords": [[0.1679, 0.3333, 0.6667], [0.1656, 0.0000, 0.0000], [0.6665, 0.6667, 0.3333]]
}

***

Record 18
{
  "formula": "TiSn2W",
  "functional": "PBE",
  "state": "relaxed",
  "ef_ev_per_atom": 0.279,
  "dft_energy_ev_per_atom": -6.93,
  "total_magnetization_mub_per_fu": 0.000,
  "lattice_angstrom": [[0.0000, 3.3519, 3.3519], [3.3519, 0.0000, 3.3519], [3.3519, 3.3519, 0.0000]],
  "species": ["Sn", "Ti", "Sn", "W"],
  "frac_coords": [[0.7500, 0.7500, 0.7500], [0.0000, 0.0000, 0.0000], [0.2500, 0.2500, 0.2500], [0.5000, 0.5000, 0.5000]]
}

***

Record 19
{
  "formula": "EuSnO3",
  "functional": "PBE",
  "state": "relaxed",
  "dft_energy_ev_per_atom": -7.95,
  "total_magnetization_mub_per_fu": 6.883,
  "lattice_angstrom": [[-0.5746, -1.1299, -3.9275], [1.6388, -3.6970, 0.8238], [-3.7438, -1.4448, 0.9634]],
  "species": ["O", "O", "Eu", "Sn", "O"],
  "frac_coords": [[0.5000, 0.0000, 0.5000], [0.0000, 0.5000, 0.5000], [0.0000, 0.0000, 0.0000], [0.5000, 0.5000, 0.5000], [0.5000, 0.5000, 0.0000]]
}

***

Record 20
{
  "formula": "AlGeAs2Os",
  "functional": "PBE",
  "state": "relaxed",
  "ef_ev_per_atom": 1.524,
  "dft_energy_ev_per_atom": -4.25,
  "total_magnetization_mub_per_fu": 1.619,
  "lattice_angstrom": [[4.8335, 0.0000, 0.0000], [0.0000, 4.5816, 0.0000], [0.0000, 0.0000, 4.8335]],
  "species": ["Os", "As", "As", "Al", "Ge"],
  "frac_coords": [[0.5000, 0.5000, 0.5000], [0.5000, 0.0000, 0.0000], [0.0000, 0.0000, 0.5000], [0.0000, 0.5000, 0.0000], [0.0000, 0.0000, 0.0000]]
}